# 1
The following is a GGA-PBE calculation of a geometry-optimized CdPCl2 structure, from Alexandria.

abc: 3.2733 3.2733 28.2873
angles: 90.00 90.00 120.00
Last column: nearest neighbours and their distance in Å.
Space group R-3m (No. 166, hexagonal axes)
One atom of each set of equivalent atoms:
Cd1 0.0000 0.0000 0.0000 x3  6 Cl 3.11, 6 Cd 3.27
P1 0.0000 0.0000 0.5000 x3  2 Cl 2.25
Cl1 0.0000 0.0000 0.4206 x6  1 P 2.25

Calculated values
The energy relative to the elements, uncorrected comes out at -7 kJ/mol of formula units. The total magnetization comes out at 0.000 μB/atom. The density of states at the Fermi level comes out at 0.341 states/eV per atom. Its theoretical density is 4.1 Mg/m³.


# 2
The following is a GGA-PBE calculation of a geometry-optimized TaOs2Ru structure, from Alexandria.

abc: 2.7785 2.7785 7.8514
angles: 90.00 90.00 90.00
Last column: nearest neighbours and their distance in Å.
Space group P4/mmm (No. 123)
One atom of each set of equivalent atoms:
Ta1 0.0000 0.0000 0.0000 x1  4 Ta 2.78, 8 Os 2.86
Os1 0.5000 0.5000 0.2649 x2  4 Ru 2.70, 4 Os 2.78, 4 Ta 2.86
Ru1 0.0000 0.0000 0.5000 x1  8 Os 2.70, 4 Ru 2.78

Calculated values
The total magnetization comes out at 0.000 μB/atom. The density of states at the Fermi level comes out at 0.894 states/eV per atom. Its theoretical density is 18.1 Mg/m³. The calculation puts the calculated formation energy at 0.02 eV per atom.


# 3
The following is a GGA-PBE calculation of a geometry-optimized SrZrAl2 structure, from Alexandria.

abc: 3.3162 3.3162 8.7208
angles: 90.00 90.00 90.00
Last column: nearest neighbours and their distance in Å.
Space group P4mm (No. 99)
One atom of each set of equivalent atoms:
Sr1 0.0000 0.0000 0.0000 x1  4 Sr 3.32, 4 Al 3.37
Zr1 0.5000 0.5000 0.3478 x1  5 Al 2.95-3.27
Al1 0.0000 0.0000 0.5521 x1  4 Al 2.78, 4 Zr 2.95
Al2 0.5000 0.5000 0.7225 x1  4 Al 2.78

Calculated values
The total magnetization comes out at 0.000 μB/atom. The density of states at the Fermi level comes out at 0.730 states/eV per atom. Its theoretical density is 4.0 Mg/m³. The calculation puts the calculated formation energy at 0.02 eV per atom.


# 4
The following is a GGA-PBE calculation of a geometry-optimized Sr2BeFe structure, from Alexandria.

abc: 4.7139 4.7139 19.5392
angles: 90.00 90.00 90.00
Last column: nearest neighbours and their distance in Å.
Space group I-42d (No. 122)
One atom of each set of equivalent atoms:
Sr1 0.2406 0.2500 0.1250 x8  2 Fe 2.94, 2 Be 2.97, 2 Sr 3.27
Be1 0.0000 0.0000 0.5000 x4  4 Sr 2.97
Fe1 0.0000 0.0000 0.0000 x4  4 Sr 2.94

Calculated values
The total magnetization comes out at 0.048 μB/atom. The density of states at the Fermi level comes out at 1.592 states/eV per atom. Its theoretical density is 3.7 Mg/m³. The calculation puts the calculated formation energy at 1.45 eV per atom.


# 5
The following is a GGA-PBE calculation of a geometry-optimized TlSiTc2 structure, from Alexandria.

abc: 3.0105 4.3886 5.3542
angles: 90.00 106.28 90.00
Last column: nearest neighbours and their distance in Å.
Space group Pm (No. 6)
One atom of each set of equivalent atoms:
Tl1 0.0000 0.0000 0.0000 x1  3 Tc 2.69-2.88
Si1 0.6430 0.5000 0.2852 x1  4 Tc 2.41-2.50
Tc1 0.3360 0.5000 0.6726 x1  2 Si 2.50
Tc2 0.7344 0.0000 0.4773 x1  2 Si 2.41, 1 Tl 2.69

Calculated values
The energy relative to the elements, uncorrected comes out at 149 kJ/mol of formula units. The total magnetization comes out at 0.000 μB/atom. The density of states at the Fermi level comes out at 0.957 states/eV per atom. Its theoretical density is 10.5 Mg/m³.


# 6
The following is a GGA-PBE calculation of a geometry-optimized MgBeP structure, from Alexandria.

abc: 3.6012 3.6012 3.9883
angles: 90.00 90.00 120.00
Last column: nearest neighbours and their distance in Å.
Space group P-6m2 (No. 187)
One atom of each set of equivalent atoms:
Mg1 0.0000 0.0000 0.0000 x1  6 Be 2.88, 6 P 2.88
Be1 0.6667 0.3333 0.5000 x1  3 P 2.08
P1 0.3333 0.6667 0.5000 x1  3 Be 2.08

Calculated values
The total magnetization comes out at 0.000 μB/atom. The density of states at the Fermi level comes out at 0.349 states/eV per atom. Its theoretical density is 2.4 Mg/m³. The calculation puts the calculated formation energy at -0.30 eV per atom.


# 7
The following is a GGA-PBE calculation of a geometry-optimized BaHg2PbAu2 structure, from Alexandria.

abc: 5.0307 5.0307 7.5188
angles: 90.00 90.00 120.00
Last column: nearest neighbours and their distance in Å.
Space group P-3m1 (No. 164)
One atom of each set of equivalent atoms:
Ba1 0.0000 0.0000 0.0000 x1  6 Hg 3.56, 6 Au 3.63, 2 Pb 3.76
Hg1 0.3333 0.6667 0.2734 x2  3 Au 2.91
Pb1 0.0000 0.0000 0.5000 x1  6 Au 3.31, 6 Hg 3.37
Au1 0.3333 0.6667 0.7114 x2  3 Hg 2.91

Calculated values
The total magnetization comes out at 0.000 μB/atom. The density of states at the Fermi level comes out at 0.522 states/eV per atom. Its theoretical density is 11.5 Mg/m³. The calculation puts the calculated formation energy at -0.33 eV per atom.


# 8
The following is a GGA-PBE calculation of a geometry-optimized NbGaSiC2 structure, from Alexandria.

abc: 3.8224 3.8224 5.1106
angles: 90.00 90.00 90.00
Last column: nearest neighbours and their distance in Å.
Space group P4/mmm (No. 123)
One atom of each set of equivalent atoms:
Nb1 0.0000 0.0000 0.0000 x1  4 Si 2.70
Ga1 0.5000 0.5000 0.5000 x1  4 C 1.91
Si1 0.5000 0.5000 0.0000 x1  2 Ga 2.56, 4 Nb 2.70
C1 0.0000 0.5000 0.5000 x2  2 Ga 1.91

Calculated values
The energy relative to the elements, uncorrected comes out at 948 kJ/mol of formula units. The total magnetization comes out at 0.006 μB/atom. The density of states at the Fermi level comes out at 0.642 states/eV per atom. Its theoretical density is 4.8 Mg/m³.


# 9
The following is a GGA-PBE calculation of a geometry-optimized Tl3VTe structure, from Alexandria.

abc: 5.4814 5.4814 5.4814
angles: 90.00 90.00 90.00
Last column: nearest neighbours and their distance in Å.
Space group Pm-3m (No. 221)
One atom of each set of equivalent atoms:
Tl1 0.0000 0.0000 0.5000 x3  2 V 2.74
V1 0.0000 0.0000 0.0000 x1  6 Tl 2.74
Te1 0.5000 0.5000 0.5000 x1  12 Tl 3.88

Calculated values
The energy relative to the elements, uncorrected comes out at 198 kJ/mol of formula units. The total magnetization comes out at 0.882 μB/atom. The density of states at the Fermi level comes out at 1.395 states/eV per atom. Its theoretical density is 8.0 Mg/m³.


# 10
The following is a GGA-PBE calculation of a geometry-optimized Np2AgO8 structure, from Alexandria.

abc: 6.3328 11.7566 4.0133
angles: 90.00 91.03 90.00
Last column: nearest neighbours and their distance in Å.
Space group C2/m (No. 12)
One atom of each set of equivalent atoms:
Np1 0.0000 0.1687 0.0000 x4  4 O 1.88-2.08
Ag1 0.0000 0.5000 0.5000 x2  10 O 2.81-3.02
O1 0.0000 0.2163 0.5000 x4  2 Np 2.08
O2 0.0639 0.0000 0.3528 x4  1 O 1.44
O3 0.2079 0.3570 0.0370 x8  1 Np 1.88

Calculated values
The energy relative to the elements, uncorrected comes out at -1933 kJ/mol of formula units. The total magnetization comes out at 0.092 μB/atom. The density of states at the Fermi level comes out at 0.560 states/eV per atom. Its theoretical density is 7.9 Mg/m³.